(1)
Below is an optimized crystal structure of NdGdTlGa, with properties calculated at the PBE level.

Output
**Energy relative to the elements**: -1.760 eV per formula unit
**Symmetry**: F-43m, No. 216

CIF file:
```
data_NdGdTlGa
_cell_length_a 5.337
_cell_length_b 5.337
_cell_length_c 5.337
_cell_angle_alpha 60.00
_cell_angle_beta 60.00
_cell_angle_gamma 60.00
_symmetry_space_group_name_H-M 'P 1'
_symmetry_Int_Tables_number 1
_symmetry_space_group_name_Hall 'P 1'
loop_
_atom_site_label
_atom_site_fract_x
_atom_site_fract_y
_atom_site_fract_z
Gd1 0.000 0.000 0.000
Ga1 0.250 0.250 0.250
Nd1 0.500 0.500 0.500
Tl1 0.750 0.750 0.750
```

(2)
Below is an optimized crystal structure of ErNpTl2O8, with properties calculated at the PBE level.

Output
**Symmetry**: Cmmm, No. 65
**Formation energy from raw total energies**: -23.3 eV per formula unit

CIF file:
```
data_ErNpTl2O8
_cell_length_a 5.219
_cell_length_b 5.220
_cell_length_c 6.802
_cell_angle_alpha 90.00
_cell_angle_beta 90.00
_cell_angle_gamma 92.68
_symmetry_space_group_name_H-M 'P 1'
_symmetry_Int_Tables_number 1
_symmetry_space_group_name_Hall 'P 1'
loop_
_atom_site_label
_atom_site_fract_x
_atom_site_fract_y
_atom_site_fract_z
O1 0.698 0.698 0.500
O2 0.296 0.296 0.000
O3 0.829 0.171 0.778
O4 0.171 0.829 0.778
O5 0.302 0.302 0.500
O6 0.829 0.171 0.222
Er1 0.000 0.000 0.500
Tl1 0.500 0.500 0.746
O7 0.171 0.829 0.222
O8 0.704 0.704 0.000
Np1 0.000 0.000 0.000
Tl2 0.500 0.500 0.254
```

(3)
Below is an optimized crystal structure of Er8HC3N3, with properties calculated at the PBE level.

Output
**Symmetry**: R-3m, No. 166
**Uncorrected energy**: -7.00 eV/atom

CIF file:
```
data_Er8HC3N3
_cell_length_a 6.963
_cell_length_b 6.963
_cell_length_c 6.973
_cell_angle_alpha 119.95
_cell_angle_beta 90.00
_cell_angle_gamma 120.00
_symmetry_space_group_name_H-M 'P 1'
_symmetry_Int_Tables_number 1
_symmetry_space_group_name_Hall 'P 1'
loop_
_atom_site_label
_atom_site_fract_x
_atom_site_fract_y
_atom_site_fract_z
Er1 0.254 0.001 0.754
N1 0.500 0.500 0.500
C1 0.000 0.500 0.000
H1 0.000 0.000 0.500
Er2 0.252 0.504 0.256
N2 0.500 0.000 0.500
Er3 0.254 0.507 0.754
Er4 0.747 0.001 0.754
Er5 0.253 0.999 0.246
C2 0.500 0.500 0.000
Er6 0.746 0.999 0.246
C3 0.000 0.000 0.000
Er7 0.748 0.496 0.744
N3 0.000 0.500 0.500
Er8 0.746 0.493 0.246
```

(4)
Below is an optimized crystal structure of UPbSe, with properties calculated at the PBE level.

Output
**Symmetry**: P-3m1, No. 164
**Formation energy from raw total energies**: -0.6 eV per formula unit

CIF file:
```
data_UPbSe
_cell_length_a 4.515
_cell_length_b 4.515
_cell_length_c 10.336
_cell_angle_alpha 90.00
_cell_angle_beta 90.00
_cell_angle_gamma 120.00
_symmetry_space_group_name_H-M 'P 1'
_symmetry_Int_Tables_number 1
_symmetry_space_group_name_Hall 'P 1'
loop_
_atom_site_label
_atom_site_fract_x
_atom_site_fract_y
_atom_site_fract_z
Se1 0.667 0.333 0.595
Pb1 0.333 0.667 0.079
U1 0.667 0.333 0.295
U2 0.333 0.667 0.705
Pb2 0.667 0.333 0.921
Se2 0.333 0.667 0.405
```

(5)
Below is an optimized crystal structure of GePb4S5, with properties calculated at the PBE level.

Output
**Symmetry**: I4, No. 79
**Formation energy from raw total energies**: -4.6 eV per formula unit

CIF file:
```
data_GePb4S5
_cell_length_a 5.986
_cell_length_b 7.245
_cell_length_c 7.245
_cell_angle_alpha 80.17
_cell_angle_beta 65.60
_cell_angle_gamma 65.60
_symmetry_space_group_name_H-M 'P 1'
_symmetry_Int_Tables_number 1
_symmetry_space_group_name_Hall 'P 1'
loop_
_atom_site_label
_atom_site_fract_x
_atom_site_fract_y
_atom_site_fract_z
Ge1 0.037 0.000 0.000
Pb1 0.811 0.800 0.598
S1 0.440 0.000 0.000
Pb2 0.409 0.402 0.800
S2 0.902 0.384 0.809
S3 0.711 0.191 0.384
Pb3 0.209 0.200 0.402
S4 0.286 0.809 0.616
Pb4 0.611 0.598 0.200
S5 0.095 0.616 0.191
```